Entry 1:
# Nb4P2C | the Alexandria database | PBE-GGA | relaxed
data_Nb4P2C
_chemical_formula_sum 'Nb8 P4 C2'
_space_group_name_H-M_alt 'P 1 21/m 1'
_space_group_IT_number 11
_cell_length_a 6.225
_cell_length_b 5.477
_cell_length_c 6.748
_cell_angle_alpha 90.00
_cell_angle_beta 107.71
_cell_angle_gamma 90.00
loop_
_space_group_symop_operation_xyz
'x,y,z'
'-x,-y,-z'
'-x,y+1/2,-z'
'x,-y+1/2,z'
loop_
_atom_site_label
_atom_site_type_symbol
_atom_site_fract_x
_atom_site_fract_y
_atom_site_fract_z
_atom_site_occupancy
Nb1 Nb 0.040 0.003 0.248 1
Nb2 Nb 0.380 0.250 0.096 1
Nb3 Nb 0.427 0.250 0.598 1
P1 P 0.249 0.750 0.578 1
P2 P 0.260 0.750 0.049 1
C1 C 0.223 0.250 0.783 1
# D(E_F): 4.1 states/eV/f.u.
# Energy of formation from the pure elements: -0.294 eV/atom

Entry 2:
# NbP2C2 | the Alexandria database | PBE-GGA | relaxed
data_NbP2C2
_chemical_formula_sum 'Nb1 P2 C2'
_space_group_name_H-M_alt 'P 4/m m m'
_space_group_IT_number 123
_space_group_name_Hall '-P 4 2'
_cell_length_a 4.075
_cell_length_b 4.075
_cell_length_c 5.183
_cell_angle_alpha 90.00
_cell_angle_beta 90.00
_cell_angle_gamma 90.00
loop_
_atom_site_label
_atom_site_type_symbol
_atom_site_fract_x
_atom_site_fract_y
_atom_site_fract_z
_atom_site_occupancy
Nb1 Nb 0.000 0.000 0.000 1
P1 P 0.000 0.000 0.500 1
P2 P 0.500 0.500 0.500 1
C1 C 0.000 0.500 0.000 1
# D(E_F): 3.5 states/eV/f.u.
# Energy of formation from the pure elements: 1.791 eV/atom

Entry 3:
# NbP2C | the Alexandria database | PBE-GGA | relaxed
data_NbP2C
_chemical_formula_sum 'Nb4 P8 C4'
_space_group_name_H-M_alt 'I -4 2 d'
_space_group_IT_number 122
_space_group_name_Hall 'I -4 2bw'
_cell_length_a 5.497
_cell_length_b 5.497
_cell_length_c 7.411
_cell_angle_alpha 90.00
_cell_angle_beta 90.00
_cell_angle_gamma 90.00
loop_
_atom_site_label
_atom_site_type_symbol
_atom_site_fract_x
_atom_site_fract_y
_atom_site_fract_z
_atom_site_occupancy
Nb1 Nb 0.000 0.000 0.000 1
P1 P 0.154 0.250 0.625 1
C1 C 0.000 0.000 0.500 1
# D(E_F): 2.1 states/eV/f.u.
# Energy of formation from the pure elements: 0.265 eV/atom

Entry 4:
# Nb7P2C2 | the Alexandria database | PBE-GGA | relaxed
data_Nb7P2C2
_chemical_formula_sum 'Nb14 P4 C4'
_space_group_name_H-M_alt 'I m m 2'
_space_group_IT_number 44
_cell_length_a 3.267
_cell_length_b 12.944
_cell_length_c 7.600
_cell_angle_alpha 90.00
_cell_angle_beta 90.00
_cell_angle_gamma 90.00
loop_
_space_group_symop_operation_xyz
'x,y,z'
'-x,-y,z'
'-x,y,z'
'x,-y,z'
'x+1/2,y+1/2,z+1/2'
'-x+1/2,-y+1/2,z+1/2'
'-x+1/2,y+1/2,z+1/2'
'x+1/2,-y+1/2,z+1/2'
loop_
_atom_site_label
_atom_site_type_symbol
_atom_site_fract_x
_atom_site_fract_y
_atom_site_fract_z
_atom_site_occupancy
Nb1 Nb 0.000 0.000 0.000 1
Nb2 Nb 0.000 0.125 0.405 1
Nb3 Nb 0.000 0.317 0.609 1
Nb4 Nb 0.000 0.350 0.239 1
P1 P 0.000 0.000 0.661 1
P2 P 0.000 0.500 0.756 1
C1 C 0.000 0.247 0.908 1
# D(E_F): 5.2 states/eV/f.u.
# Energy of formation from the pure elements: -0.495 eV/atom

Entry 5:
# NbPC2 | the Alexandria database | PBE-GGA | relaxed
data_NbPC2
_chemical_formula_sum 'Nb4 P4 C8'
_space_group_name_H-M_alt 'I -4 2 d'
_space_group_IT_number 122
_space_group_name_Hall 'I -4 2bw'
_cell_length_a 4.990
_cell_length_b 4.990
_cell_length_c 7.319
_cell_angle_alpha 90.00
_cell_angle_beta 90.00
_cell_angle_gamma 90.00
loop_
_atom_site_label
_atom_site_type_symbol
_atom_site_fract_x
_atom_site_fract_y
_atom_site_fract_z
_atom_site_occupancy
Nb1 Nb 0.000 0.000 0.000 1
P1 P 0.000 0.000 0.500 1
C1 C 0.176 0.250 0.625 1
# D(E_F): 2.8 states/eV/f.u.
# Energy of formation from the pure elements: 0.412 eV/atom

Entry 6:
# Nb2RePC | the Alexandria database | PBE-GGA | relaxed
data_Nb2RePC
_chemical_formula_sum 'Nb2 Re1 P1 C1'
_space_group_name_H-M_alt 'P 4/m m m'
_space_group_IT_number 123
_space_group_name_Hall '-P 4 2'
_cell_length_a 4.930
_cell_length_b 4.930
_cell_length_c 4.345
_cell_angle_alpha 90.00
_cell_angle_beta 90.00
_cell_angle_gamma 90.00
loop_
_atom_site_label
_atom_site_type_symbol
_atom_site_fract_x
_atom_site_fract_y
_atom_site_fract_z
_atom_site_occupancy
Nb1 Nb 0.000 0.500 0.000 1
Re1 Re 0.000 0.000 0.000 1
P1 P 0.000 0.000 0.500 1
C1 C 0.500 0.500 0.500 1
# D(E_F): 5.2 states/eV/f.u.
# Energy of formation from the pure elements: 2.078 eV/atom

Entry 7:
# Nb2TlPC | the Alexandria database | PBE-GGA | relaxed
data_Nb2TlPC
_chemical_formula_sum 'Nb2 Tl1 P1 C1'
_space_group_name_H-M_alt 'P 4/m m m'
_space_group_IT_number 123
_space_group_name_Hall '-P 4 2'
_cell_length_a 5.345
_cell_length_b 5.345
_cell_length_c 4.755
_cell_angle_alpha 90.00
_cell_angle_beta 90.00
_cell_angle_gamma 90.00
loop_
_atom_site_label
_atom_site_type_symbol
_atom_site_fract_x
_atom_site_fract_y
_atom_site_fract_z
_atom_site_occupancy
Nb1 Nb 0.000 0.500 0.000 1
Tl1 Tl 0.000 0.000 0.000 1
P1 P 0.000 0.000 0.500 1
C1 C 0.500 0.500 0.500 1
# D(E_F): 7.5 states/eV/f.u.
# Energy of formation from the pure elements: 3.196 eV/atom

Entry 8:
# NbTl2PC | the Alexandria database | PBE-GGA | relaxed
data_NbTl2PC
_chemical_formula_sum 'Nb1 Tl2 P1 C1'
_space_group_name_H-M_alt 'P 4/m m m'
_space_group_IT_number 123
_space_group_name_Hall '-P 4 2'
_cell_length_a 5.211
_cell_length_b 5.211
_cell_length_c 4.691
_cell_angle_alpha 90.00
_cell_angle_beta 90.00
_cell_angle_gamma 90.00
loop_
_atom_site_label
_atom_site_type_symbol
_atom_site_fract_x
_atom_site_fract_y
_atom_site_fract_z
_atom_site_occupancy
Nb1 Nb 0.000 0.000 0.000 1
Tl1 Tl 0.000 0.500 0.500 1
P1 P 0.000 0.000 0.500 1
C1 C 0.500 0.500 0.000 1
# D(E_F): 4.6 states/eV/f.u.
# Energy of formation from the pure elements: 1.871 eV/atom

Entry 9:
# Pa5NbC6 | the Alexandria database | PBE-GGA | relaxed
data_Pa5NbC6
_chemical_formula_sum 'Pa10 Nb2 C12'
_space_group_name_H-M_alt 'C 1 2/m 1'
_space_group_IT_number 12
_cell_length_a 6.118
_cell_length_b 10.576
_cell_length_c 6.106
_cell_angle_alpha 90.00
_cell_angle_beta 109.39
_cell_angle_gamma 90.00
loop_
_space_group_symop_operation_xyz
'x,y,z'
'-x,-y,-z'
'-x,y,-z'
'x,-y,z'
'x+1/2,y+1/2,z'
'-x+1/2,-y+1/2,-z'
'-x+1/2,y+1/2,-z'
'x+1/2,-y+1/2,z'
loop_
_atom_site_label
_atom_site_type_symbol
_atom_site_fract_x
_atom_site_fract_y
_atom_site_fract_z
_atom_site_occupancy
Pa1 Pa 0.000 0.000 0.000 1
Pa2 Pa 0.000 0.166 0.500 1
Pa3 Pa 0.000 0.333 0.000 1
Nb1 Nb 0.000 0.500 0.500 1
C1 C 0.235 0.342 0.736 1
C2 C 0.235 0.500 0.257 1
# D(E_F): 8.0 states/eV/f.u.
# Energy of formation from the pure elements: -0.452 eV/atom

Entry 10:
# Pa2NbC3 | the Alexandria database | PBE-GGA | relaxed
data_Pa2NbC3
_chemical_formula_sum 'Pa8 Nb4 C12'
_space_group_name_H-M_alt 'C 1 2/m 1'
_space_group_IT_number 12
_cell_length_a 5.967
_cell_length_b 10.355
_cell_length_c 6.009
_cell_angle_alpha 90.00
_cell_angle_beta 109.29
_cell_angle_gamma 90.00
loop_
_space_group_symop_operation_xyz
'x,y,z'
'-x,-y,-z'
'-x,y,-z'
'x,-y,z'
'x+1/2,y+1/2,z'
'-x+1/2,-y+1/2,-z'
'-x+1/2,y+1/2,-z'
'x+1/2,-y+1/2,z'
loop_
_atom_site_label
_atom_site_type_symbol
_atom_site_fract_x
_atom_site_fract_y
_atom_site_fract_z
_atom_site_occupancy
Pa1 Pa 0.000 0.000 0.000 1
Pa2 Pa 0.000 0.165 0.500 1
Pa3 Pa 0.000 0.500 0.500 1
Nb1 Nb 0.000 0.332 0.000 1
C1 C 0.229 0.500 0.228 1
C2 C 0.249 0.327 0.767 1
# D(E_F): 2.6 states/eV/f.u.
# Energy of formation from the pure elements: -0.471 eV/atom

Entry 11:
# Pa3NbC | the Alexandria database | PBE-GGA | relaxed
data_Pa3NbC
_chemical_formula_sum 'Pa3 Nb1 C1'
_space_group_name_H-M_alt 'P m -3 m'
_space_group_IT_number 221
_space_group_name_Hall '-P 4 2 3'
_cell_length_a 4.769
_cell_length_b 4.769
_cell_length_c 4.769
_cell_angle_alpha 90.00
_cell_angle_beta 90.00
_cell_angle_gamma 90.00
loop_
_atom_site_label
_atom_site_type_symbol
_atom_site_fract_x
_atom_site_fract_y
_atom_site_fract_z
_atom_site_occupancy
Pa1 Pa 0.000 0.000 0.500 1
Nb1 Nb 0.500 0.500 0.500 1
C1 C 0.000 0.000 0.000 1
# D(E_F): 6.1 states/eV/f.u.
# Energy of formation from the pure elements: 0.035 eV/atom

Entry 12:
# Pa5NbC4 | the Alexandria database | PBE-GGA | relaxed
data_Pa5NbC4
_chemical_formula_sum 'Pa10 Nb2 C8'
_space_group_name_H-M_alt 'P m m n'
_space_group_IT_number 59
_cell_length_a 7.013
_cell_length_b 8.495
_cell_length_c 5.956
_cell_angle_alpha 90.00
_cell_angle_beta 90.00
_cell_angle_gamma 90.00
loop_
_space_group_symop_operation_xyz
'x,y,z'
'-x,-y,-z'
'-x+1/2,-y+1/2,z'
'x+1/2,y+1/2,-z'
'x+1/2,-y,-z'
'-x+1/2,y,z'
'-x,y+1/2,-z'
'x,-y+1/2,z'
loop_
_atom_site_label
_atom_site_type_symbol
_atom_site_fract_x
_atom_site_fract_y
_atom_site_fract_z
_atom_site_occupancy
Pa1 Pa 0.000 0.082 0.224 1
Pa2 Pa 0.250 0.250 0.645 1
Nb1 Nb 0.250 0.750 0.328 1
C1 C 0.009 0.750 0.110 1
C2 C 0.250 0.513 0.480 1
# D(E_F): 11.9 states/eV/f.u.
# Energy of formation from the pure elements: -0.073 eV/atom

Entry 13:
# ScPa2NbC4 | the Alexandria database | PBE-GGA | relaxed
data_ScPa2NbC4
_chemical_formula_sum 'Sc4 Pa8 Nb4 C16'
_space_group_name_H-M_alt 'I m m a'
_space_group_IT_number 74
_space_group_name_Hall '-I 2b 2'
_cell_length_a 6.770
_cell_length_b 6.934
_cell_length_c 9.701
_cell_angle_alpha 90.00
_cell_angle_beta 90.00
_cell_angle_gamma 90.00
loop_
_atom_site_label
_atom_site_type_symbol
_atom_site_fract_x
_atom_site_fract_y
_atom_site_fract_z
_atom_site_occupancy
Sc1 Sc 0.000 0.000 0.000 1
Pa1 Pa 0.000 0.000 0.500 1
Pa2 Pa 0.250 0.250 0.250 1
Nb1 Nb 0.250 0.250 0.750 1
C1 C 0.000 0.017 0.753 1
C2 C 0.249 0.250 0.991 1
# D(E_F): 4.6 states/eV/f.u.
# Energy of formation from the pure elements: -0.480 eV/atom

Entry 14:
# PaTaNb2C4 | the Alexandria database | PBE-GGA | relaxed
data_PaTaNb2C4
_chemical_formula_sum 'Pa1 Ta1 Nb2 C4'
_space_group_name_H-M_alt 'P 1 2/m 1'
_space_group_IT_number 10
_cell_length_a 5.686
_cell_length_b 3.262
_cell_length_c 5.730
_cell_angle_alpha 90.00
_cell_angle_beta 109.03
_cell_angle_gamma 90.00
loop_
_space_group_symop_operation_xyz
'x,y,z'
'-x,-y,-z'
'-x,y,-z'
'x,-y,z'
loop_
_atom_site_label
_atom_site_type_symbol
_atom_site_fract_x
_atom_site_fract_y
_atom_site_fract_z
_atom_site_occupancy
Pa1 Pa 0.000 0.000 0.000 1
Ta1 Ta 0.000 0.500 0.500 1
Nb1 Nb 0.500 0.000 0.500 1
Nb2 Nb 0.500 0.500 0.000 1
C1 C 0.251 0.000 0.740 1
C2 C 0.263 0.500 0.269 1
# D(E_F): 4.0 states/eV/f.u.
# Energy of formation from the pure elements: -0.475 eV/atom

Entry 15:
# Pa2TaNbC4 | the Alexandria database | PBE-GGA | relaxed
data_Pa2TaNbC4
_chemical_formula_sum 'Pa2 Ta1 Nb1 C4'
_space_group_name_H-M_alt 'P 1 2/m 1'
_space_group_IT_number 10
_cell_length_a 5.758
_cell_length_b 3.316
_cell_length_c 5.987
_cell_angle_alpha 90.00
_cell_angle_beta 108.63
_cell_angle_gamma 90.00
loop_
_space_group_symop_operation_xyz
'x,y,z'
'-x,-y,-z'
'-x,y,-z'
'x,-y,z'
loop_
_atom_site_label
_atom_site_type_symbol
_atom_site_fract_x
_atom_site_fract_y
_atom_site_fract_z
_atom_site_occupancy
Pa1 Pa 0.000 0.000 0.000 1
Pa2 Pa 0.500 0.500 0.000 1
Ta1 Ta 0.000 0.500 0.500 1
Nb1 Nb 0.500 0.000 0.500 1
C1 C 0.237 0.000 0.720 1
C2 C 0.257 0.500 0.278 1
# D(E_F): 4.0 states/eV/f.u.
# Energy of formation from the pure elements: -0.542 eV/atom

Entry 16:
# PaTaNbC3 | the Alexandria database | PBE-GGA | relaxed
data_PaTaNbC3
_chemical_formula_sum 'Pa2 Ta2 Nb2 C6'
_space_group_name_H-M_alt 'P 1 21/m 1'
_space_group_IT_number 11
_cell_length_a 5.675
_cell_length_b 3.272
_cell_length_c 8.578
_cell_angle_alpha 90.00
_cell_angle_beta 102.46
_cell_angle_gamma 90.00
loop_
_space_group_symop_operation_xyz
'x,y,z'
'-x,-y,-z'
'-x,y+1/2,-z'
'x,-y+1/2,z'
loop_
_atom_site_label
_atom_site_type_symbol
_atom_site_fract_x
_atom_site_fract_y
_atom_site_fract_z
_atom_site_occupancy
Pa1 Pa 0.148 0.250 0.197 1
Ta1 Ta 0.272 0.750 0.549 1
Nb1 Nb 0.370 0.250 0.861 1
C1 C 0.058 0.250 0.656 1
C2 C 0.245 0.750 0.993 1
C3 C 0.460 0.750 0.348 1
# D(E_F): 3.6 states/eV/f.u.
# Energy of formation from the pure elements: -0.511 eV/atom

Entry 17:
# PaTa2NbC4 | the Alexandria database | PBE-GGA | relaxed
data_PaTa2NbC4
_chemical_formula_sum 'Pa4 Ta8 Nb4 C16'
_space_group_name_H-M_alt 'C m c m'
_space_group_IT_number 63
_space_group_name_Hall '-C 2c 2'
_cell_length_a 3.244
_cell_length_b 11.483
_cell_length_c 11.484
_cell_angle_alpha 90.00
_cell_angle_beta 90.00
_cell_angle_gamma 90.00
loop_
_atom_site_label
_atom_site_type_symbol
_atom_site_fract_x
_atom_site_fract_y
_atom_site_fract_z
_atom_site_occupancy
Pa1 Pa 0.000 0.136 0.250 1
Ta1 Ta 0.000 0.369 0.030 1
Nb1 Nb 0.000 0.133 0.750 1
C1 C 0.000 0.000 0.000 1
C2 C 0.000 0.256 0.612 1
C3 C 0.000 0.481 0.250 1
# D(E_F): 3.5 states/eV/f.u.
# Energy of formation from the pure elements: -0.261 eV/atom

Entry 18:
# Tb2PaNbC4 | the Alexandria database | PBE-GGA | relaxed
data_Tb2PaNbC4
_chemical_formula_sum 'Tb8 Pa4 Nb4 C16'
_space_group_name_H-M_alt 'I m m a'
_space_group_IT_number 74
_space_group_name_Hall '-I 2b 2'
_cell_length_a 6.922
_cell_length_b 7.033
_cell_length_c 9.884
_cell_angle_alpha 90.00
_cell_angle_beta 90.00
_cell_angle_gamma 90.00
loop_
_atom_site_label
_atom_site_type_symbol
_atom_site_fract_x
_atom_site_fract_y
_atom_site_fract_z
_atom_site_occupancy
Tb1 Tb 0.000 0.000 0.000 1
Tb2 Tb 0.250 0.250 0.250 1
Pa1 Pa 0.000 0.000 0.500 1
Nb1 Nb 0.250 0.250 0.750 1
C1 C 0.000 0.024 0.745 1
C2 C 0.236 0.250 0.518 1
# D(E_F): 1.0 states/eV/f.u.
# Energy of formation from the pure elements: -0.370 eV/atom

Entry 19:
# PaNbTcC3 | the Alexandria database | PBE-GGA | relaxed
data_PaNbTcC3
_chemical_formula_sum 'Pa2 Nb2 Tc2 C6'
_space_group_name_H-M_alt 'P 1 21/m 1'
_space_group_IT_number 11
_cell_length_a 7.023
_cell_length_b 3.155
_cell_length_c 7.872
_cell_angle_alpha 90.00
_cell_angle_beta 97.88
_cell_angle_gamma 90.00
loop_
_space_group_symop_operation_xyz
'x,y,z'
'-x,-y,-z'
'-x,y+1/2,-z'
'x,-y+1/2,z'
loop_
_atom_site_label
_atom_site_type_symbol
_atom_site_fract_x
_atom_site_fract_y
_atom_site_fract_z
_atom_site_occupancy
Pa1 Pa 0.160 0.250 0.183 1
Nb1 Nb 0.363 0.750 0.868 1
Tc1 Tc 0.128 0.250 0.596 1
C1 C 0.131 0.250 0.866 1
C2 C 0.174 0.750 0.440 1
C3 C 0.416 0.750 0.140 1
# D(E_F): 3.9 states/eV/f.u.
# Energy of formation from the pure elements: -0.112 eV/atom

Entry 20:
# Th2PaNbC4 | the Alexandria database | PBE-GGA | relaxed
data_Th2PaNbC4
_chemical_formula_sum 'Th8 Pa4 Nb4 C16'
_space_group_name_H-M_alt 'C m c m'
_space_group_IT_number 63
_space_group_name_Hall '-C 2c 2'
_cell_length_a 3.518
_cell_length_b 12.201
_cell_length_c 13.032
_cell_angle_alpha 90.00
_cell_angle_beta 90.00
_cell_angle_gamma 90.00
loop_
_atom_site_label
_atom_site_type_symbol
_atom_site_fract_x
_atom_site_fract_y
_atom_site_fract_z
_atom_site_occupancy
Th1 Th 0.000 0.136 0.032 1
Pa1 Pa 0.000 0.373 0.250 1
Nb1 Nb 0.000 0.361 0.750 1
C1 C 0.000 0.026 0.250 1
C2 C 0.000 0.239 0.639 1
C3 C 0.000 0.500 0.000 1
# D(E_F): 4.6 states/eV/f.u.
# Energy of formation from the pure elements: -0.026 eV/atom